DFT (PBE-GGA) results for a geometry-optimized RbHgN2F structure.

a = 6.1276 Å, b = 6.1276 Å, c = 5.0407 Å
α = 90.00°, β = 90.00°, γ = 90.00°
With the nearest neighbours (Å) after each atom.
Fractional positions:
Rb: 0.0000 0.0000 0.0000  2 F 2.52
Hg: 0.5000 0.5000 0.5000  8 N 3.97, 4 F 4.33
N: 0.0000 0.5000 0.0000  2 Rb 3.06
N: 0.5000 0.0000 0.0000  2 Rb 3.06
F: 0.0000 0.0000 0.5000  2 Rb 2.52

SG: P4/mmm
Density of states at the Fermi level: 1.059 states/eV/f.u.
ΔE_f (raw): 1207 meV/atom
Energy above the most stable polymorph in this dataset: 0.565 eV per atom
Calculated volume: 37.853 Å³ per atom

DFT (PBE-GGA) results for a geometry-optimized Rb2HgNF6 structure.

a = 6.4841 Å, b = 6.4841 Å, c = 6.4841 Å
α = 124.60°, β = 124.60°, γ = 82.21°
With the nearest neighbours (Å) after each atom.
Fractional positions:
Rb: 0.2500 0.7500 0.5000  12 F 3.03-3.26
Rb: 0.7500 0.2500 0.5000  12 F 3.03-3.26
Hg: 0.0000 0.0000 0.0000  2 F 2.09
N: 0.5000 0.5000 0.0000  4 F 1.80
F: 0.2141 0.2141 0.0000  1 Hg 2.09
F: 0.2884 0.2884 0.5768  1 N 1.80
F: 0.2884 0.7116 0.0000  1 N 1.80
F: 0.7116 0.2884 0.0000  1 N 1.80
F: 0.7116 0.7116 0.4232  1 N 1.80
F: 0.7859 0.7859 0.0000  1 Hg 2.09

SG: I4/mmm
Density of states at the Fermi level: 0.000 states/eV/f.u.
ΔE_f (raw): -1359 meV/atom
Calculated volume: 17.757 Å³ per atom

DFT (PBE-GGA) results for a geometry-optimized RbHgN2F structure.

a = 4.3472 Å, b = 4.3472 Å, c = 5.3138 Å
α = 90.00°, β = 90.00°, γ = 90.00°
With the nearest neighbours (Å) after each atom.
Fractional positions:
Rb: 0.0000 0.0000 0.0000  4 F 3.07, 8 N 3.43
Hg: 0.5000 0.5000 0.5000  4 N 2.17
N: 0.0000 0.5000 0.5000  2 Hg 2.17
N: 0.5000 0.0000 0.5000  2 Hg 2.17
F: 0.5000 0.5000 0.0000  2 Hg 2.66

SG: P4/mmm
Density of states at the Fermi level: 2.911 states/eV/f.u.
ΔE_f (raw): 643 meV/atom
Energy above the most stable polymorph in this dataset: 0.000 eV per atom
Calculated volume: 20.084 Å³ per atom

DFT (PBE-GGA) results for a geometry-optimized RbHgNF2 structure.

a = 5.1216 Å, b = 5.1216 Å, c = 5.7093 Å
α = 90.00°, β = 90.00°, γ = 90.00°
With the nearest neighbours (Å) after each atom.
Fractional positions:
Rb: 0.0000 0.0000 0.0000  4 F 2.56, 2 N 2.85
Hg: 0.5000 0.5000 0.5000  4 N 3.62, 8 F 3.83
N: 0.0000 0.0000 0.5000  2 Rb 2.85
F: 0.0000 0.5000 0.0000  2 Rb 2.56
F: 0.5000 0.0000 0.0000  2 Rb 2.56

SG: P4/mmm
Density of states at the Fermi level: 6.787 states/eV/f.u.
ΔE_f (raw): 95 meV/atom
Energy above the most stable polymorph in this dataset: 0.780 eV per atom
Calculated volume: 29.952 Å³ per atom

DFT (PBE-GGA) results for a geometry-optimized ReHgN2F structure.

a = 3.9185 Å, b = 3.9185 Å, c = 4.3396 Å
α = 90.00°, β = 90.00°, γ = 90.00°
With the nearest neighbours (Å) after each atom.
Fractional positions:
Re: 0.0000 0.0000 0.0000  4 N 1.96, 2 F 2.17
Hg: 0.5000 0.5000 0.5000  4 F 2.77, 8 N 2.92
N: 0.0000 0.5000 0.0000  2 Re 1.96
N: 0.5000 0.0000 0.0000  2 Re 1.96
F: 0.0000 0.0000 0.5000  2 Re 2.17

SG: P4/mmm
Density of states at the Fermi level: 1.931 states/eV/f.u.
ΔE_f (raw): 147 meV/atom
Energy above the most stable polymorph in this dataset: 0.000 eV per atom
Calculated volume: 13.327 Å³ per atom

DFT (PBE-GGA) results for a geometry-optimized ReHgN2F structure.

a = 4.2291 Å, b = 4.2291 Å, c = 4.3251 Å
α = 90.00°, β = 90.00°, γ = 90.00°
With the nearest neighbours (Å) after each atom.
Fractional positions:
Re: 0.0000 0.0000 0.0000  4 F 2.99, 8 N 3.02
Hg: 0.5000 0.5000 0.5000  4 N 2.11, 2 F 2.16
N: 0.0000 0.5000 0.5000  2 Hg 2.11
N: 0.5000 0.0000 0.5000  2 Hg 2.11
F: 0.5000 0.5000 0.0000  2 Hg 2.16

SG: P4/mmm
Density of states at the Fermi level: 2.407 states/eV/f.u.
ΔE_f (raw): 2167 meV/atom
Energy above the most stable polymorph in this dataset: 2.020 eV per atom
Calculated volume: 15.471 Å³ per atom

DFT (PBE-GGA) results for a geometry-optimized HgRh2NF structure.

a = 3.8750 Å, b = 3.8750 Å, c = 4.9157 Å
α = 90.00°, β = 90.00°, γ = 90.00°
With the nearest neighbours (Å) after each atom.
Fractional positions:
Hg: 0.0000 0.0000 0.0000  4 F 2.74
Rh: 0.0000 0.5000 0.5000  2 N 1.94
Rh: 0.5000 0.0000 0.5000  2 N 1.94
N: 0.5000 0.5000 0.5000  4 Rh 1.94
F: 0.5000 0.5000 0.0000  2 N 2.46, 4 Hg 2.74

SG: P4/mmm
Density of states at the Fermi level: 2.857 states/eV/f.u.
ΔE_f (raw): -18 meV/atom
Calculated volume: 14.763 Å³ per atom

DFT (PBE-GGA) results for a geometry-optimized HgRhN2F structure.

a = 3.9034 Å, b = 3.9034 Å, c = 4.3936 Å
α = 90.00°, β = 90.00°, γ = 90.00°
With the nearest neighbours (Å) after each atom.
Fractional positions:
Hg: 0.0000 0.0000 0.0000  4 F 2.76, 8 N 2.94
Rh: 0.5000 0.5000 0.5000  4 N 1.95
N: 0.0000 0.5000 0.5000  2 Rh 1.95
N: 0.5000 0.0000 0.5000  2 Rh 1.95
F: 0.5000 0.5000 0.0000  2 Rh 2.20

SG: P4/mmm
Density of states at the Fermi level: 3.460 states/eV/f.u.
ΔE_f (raw): 695 meV/atom
Energy above the most stable polymorph in this dataset: 0.000 eV per atom
Calculated volume: 13.389 Å³ per atom

DFT (PBE-GGA) results for a geometry-optimized HgRhNF2 structure.

a = 4.3755 Å, b = 4.3755 Å, c = 3.7425 Å
α = 90.00°, β = 90.00°, γ = 90.00°
With the nearest neighbours (Å) after each atom.
Fractional positions:
Hg: 0.0000 0.0000 0.0000  8 F 2.88, 4 N 3.09
Rh: 0.5000 0.5000 0.5000  2 N 1.87
N: 0.5000 0.5000 0.0000  2 Rh 1.87
F: 0.0000 0.5000 0.5000  2 Rh 2.19
F: 0.5000 0.0000 0.5000  2 Rh 2.19

SG: P4/mmm
Density of states at the Fermi level: 2.223 states/eV/f.u.
ΔE_f (raw): -292 meV/atom
Energy above the most stable polymorph in this dataset: 0.000 eV per atom
Calculated volume: 14.330 Å³ per atom

DFT (PBE-GGA) results for a geometry-optimized HgRhN2F structure.

a = 4.1947 Å, b = 4.1947 Å, c = 4.3320 Å
α = 90.00°, β = 90.00°, γ = 90.00°
With the nearest neighbours (Å) after each atom.
Fractional positions:
Hg: 0.0000 0.0000 0.0000  4 N 2.10, 2 F 2.17
Rh: 0.5000 0.5000 0.5000  4 F 2.97, 8 N 3.02
N: 0.0000 0.5000 0.0000  2 Hg 2.10
N: 0.5000 0.0000 0.0000  2 Hg 2.10
F: 0.0000 0.0000 0.5000  2 Hg 2.17

SG: P4/mmm
Density of states at the Fermi level: 9.752 states/eV/f.u.
ΔE_f (raw): 1948 meV/atom
Energy above the most stable polymorph in this dataset: 1.252 eV per atom
Calculated volume: 15.245 Å³ per atom

DFT (PBE-GGA) results for a geometry-optimized HgRhNF2 structure.

a = 4.5886 Å, b = 4.5886 Å, c = 4.1441 Å
α = 90.00°, β = 90.00°, γ = 90.00°
With the nearest neighbours (Å) after each atom.
Fractional positions:
Hg: 0.0000 0.0000 0.0000  2 N 2.07, 4 F 2.29
Rh: 0.5000 0.5000 0.5000  8 F 3.09, 4 N 3.24
N: 0.0000 0.0000 0.5000  2 Hg 2.07
F: 0.0000 0.5000 0.0000  2 Hg 2.29
F: 0.5000 0.0000 0.0000  2 Hg 2.29

SG: P4/mmm
Density of states at the Fermi level: 4.668 states/eV/f.u.
ΔE_f (raw): 737 meV/atom
Energy above the most stable polymorph in this dataset: 1.030 eV per atom
Calculated volume: 17.451 Å³ per atom

DFT (PBE-GGA) results for a geometry-optimized HgRuNF2 structure.

a = 4.3293 Å, b = 4.3293 Å, c = 3.7592 Å
α = 90.00°, β = 90.00°, γ = 90.00°
With the nearest neighbours (Å) after each atom.
Fractional positions:
Hg: 0.0000 0.0000 0.0000  8 F 2.87, 4 N 3.06
Ru: 0.5000 0.5000 0.5000  2 N 1.88
N: 0.5000 0.5000 0.0000  2 Ru 1.88
F: 0.0000 0.5000 0.5000  2 Ru 2.16
F: 0.5000 0.0000 0.5000  2 Ru 2.16

SG: P4/mmm
Density of states at the Fermi level: 4.088 states/eV/f.u.
ΔE_f (raw): -366 meV/atom
Energy above the most stable polymorph in this dataset: 0.000 eV per atom
Calculated volume: 14.091 Å³ per atom

Spin magnetization values (in μB/f.u.) by entry order: 6.0 1.0 3.5 2.9 0.0 3.3 0.0 0.7 0.0 1.1 3.6 0.0.